<w>
# CaSbTe2Ir

A relaxed structure of CaSbTe2Ir (PBE, Alexandria).

Cell and atoms, written as CIF:
```
data_CaSbTe2Ir
_cell_length_a 5.607
_cell_length_b 5.607
_cell_length_c 4.894
_cell_angle_alpha 90.00
_cell_angle_beta 90.00
_cell_angle_gamma 90.00
_space_group_name_H-M_alt 'P 4/m m m'
_space_group_IT_number 123
_space_group_name_Hall '-P 4 2'
loop_
_atom_site_label
_atom_site_type_symbol
_atom_site_fract_x
_atom_site_fract_y
_atom_site_fract_z
Ca1 Ca 0.000 0.000 0.000
Sb1 Sb 0.500 0.500 0.000
Te1 Te 0.000 0.500 0.500
Ir1 Ir 0.500 0.500 0.500
```

<x>
# CaSbTe2Ir

A relaxed structure of CaSbTe2Ir (PBE, Alexandria).

Cell and atoms, written as CIF:
```
data_CaSbTe2Ir
_cell_length_a 5.603
_cell_length_b 5.603
_cell_length_c 5.659
_cell_angle_alpha 90.00
_cell_angle_beta 90.00
_cell_angle_gamma 90.00
_space_group_name_H-M_alt 'P 4/m m m'
_space_group_IT_number 123
_space_group_name_Hall '-P 4 2'
loop_
_atom_site_label
_atom_site_type_symbol
_atom_site_fract_x
_atom_site_fract_y
_atom_site_fract_z
Ca1 Ca 0.000 0.000 0.000
Sb1 Sb 0.000 0.000 0.500
Te1 Te 0.000 0.500 0.000
Ir1 Ir 0.500 0.500 0.500
```

It is <w> that is most stable; the runner-up trails by 137.9 kJ/mol of atoms.

<w>
# CaSb2TeIr

A relaxed structure of CaSb2TeIr (PBE, Alexandria).

Cell and atoms, written as CIF:
```
data_CaSb2TeIr
_cell_length_a 5.610
_cell_length_b 5.610
_cell_length_c 5.515
_cell_angle_alpha 90.00
_cell_angle_beta 90.00
_cell_angle_gamma 90.00
_space_group_name_H-M_alt 'P 4/m m m'
_space_group_IT_number 123
_space_group_name_Hall '-P 4 2'
loop_
_atom_site_label
_atom_site_type_symbol
_atom_site_fract_x
_atom_site_fract_y
_atom_site_fract_z
Ca1 Ca 0.000 0.000 0.000
Sb1 Sb 0.000 0.500 0.000
Te1 Te 0.000 0.000 0.500
Ir1 Ir 0.500 0.500 0.500
```

<x>
# CaSb2TeIr

A relaxed structure of CaSb2TeIr (PBE, Alexandria).

Cell and atoms, written as CIF:
```
data_CaSb2TeIr
_cell_length_a 5.090
_cell_length_b 5.090
_cell_length_c 5.903
_cell_angle_alpha 90.00
_cell_angle_beta 90.00
_cell_angle_gamma 90.00
_space_group_name_H-M_alt 'P 4/m m m'
_space_group_IT_number 123
_space_group_name_Hall '-P 4 2'
loop_
_atom_site_label
_atom_site_type_symbol
_atom_site_fract_x
_atom_site_fract_y
_atom_site_fract_z
Ca1 Ca 0.000 0.000 0.000
Sb1 Sb 0.000 0.500 0.500
Te1 Te 0.500 0.500 0.000
Ir1 Ir 0.500 0.500 0.500
```

It is <x> that is most stable; the runner-up trails by 141.3 kJ/mol of atoms.

<w>
# Ca2ScIr

A relaxed structure of Ca2ScIr (PBE, Alexandria).

Cell and atoms, written as CIF:
```
data_Ca2ScIr
_cell_length_a 3.634
_cell_length_b 5.505
_cell_length_c 10.633
_cell_angle_alpha 90.00
_cell_angle_beta 90.00
_cell_angle_gamma 90.00
_space_group_name_H-M_alt 'I m m 2'
_space_group_IT_number 44
loop_
_space_group_symop_operation_xyz
'x,y,z'
'-x,-y,z'
'-x,y,z'
'x,-y,z'
'x+1/2,y+1/2,z+1/2'
'-x+1/2,-y+1/2,z+1/2'
'-x+1/2,y+1/2,z+1/2'
'x+1/2,-y+1/2,z+1/2'
loop_
_atom_site_label
_atom_site_type_symbol
_atom_site_fract_x
_atom_site_fract_y
_atom_site_fract_z
Ca1 Ca 0.000 0.000 0.000
Ca2 Ca 0.000 0.500 0.193
Sc1 Sc 0.000 0.000 0.379
Ir1 Ir 0.000 0.500 0.715
```

<x>
# Ca2ScIr

A relaxed structure of Ca2ScIr (PBE, Alexandria).

Cell and atoms, written as CIF:
```
data_Ca2ScIr
_cell_length_a 10.206
_cell_length_b 10.206
_cell_length_c 5.037
_cell_angle_alpha 90.00
_cell_angle_beta 90.00
_cell_angle_gamma 90.00
_space_group_name_H-M_alt 'I -4 2 d'
_space_group_IT_number 122
_space_group_name_Hall 'I -4 2bw'
loop_
_atom_site_label
_atom_site_type_symbol
_atom_site_fract_x
_atom_site_fract_y
_atom_site_fract_z
Ca1 Ca 0.111 0.250 0.125
Sc1 Sc 0.000 0.000 0.500
Ir1 Ir 0.000 0.000 0.000
```

It is <w> that is most stable; the runner-up trails by 19.5 kJ/mol of atoms.

<w>
# Ca2ScIr

A relaxed structure of Ca2ScIr (PBE, Alexandria).

Cell and atoms, written as CIF:
```
data_Ca2ScIr
_cell_length_a 4.311
_cell_length_b 4.311
_cell_length_c 4.972
_cell_angle_alpha 90.00
_cell_angle_beta 90.00
_cell_angle_gamma 90.00
_space_group_name_H-M_alt 'P 4/m m m'
_space_group_IT_number 123
_space_group_name_Hall '-P 4 2'
loop_
_atom_site_label
_atom_site_type_symbol
_atom_site_fract_x
_atom_site_fract_y
_atom_site_fract_z
Ca1 Ca 0.000 0.500 0.000
Sc1 Sc 0.000 0.000 0.500
Ir1 Ir 0.500 0.500 0.500
```

<x>
# Ca2ScIr

A relaxed structure of Ca2ScIr (PBE, Alexandria).

Cell and atoms, written as CIF:
```
data_Ca2ScIr
_cell_length_a 8.882
_cell_length_b 3.763
_cell_length_c 7.861
_cell_angle_alpha 90.00
_cell_angle_beta 108.22
_cell_angle_gamma 90.00
_space_group_name_H-M_alt 'C 1 m 1'
_space_group_IT_number 8
loop_
_space_group_symop_operation_xyz
'x,y,z'
'x,-y,z'
'x+1/2,y+1/2,z'
'x+1/2,-y+1/2,z'
loop_
_atom_site_label
_atom_site_type_symbol
_atom_site_fract_x
_atom_site_fract_y
_atom_site_fract_z
Ca1 Ca 0.000 0.000 0.000
Ca2 Ca 0.162 0.000 0.588
Sc1 Sc 0.305 0.500 0.294
Ir1 Ir 0.009 0.500 0.293
```

<y>
# Ca2ScIr

A relaxed structure of Ca2ScIr (PBE, Alexandria).

Cell and atoms, written as CIF:
```
data_Ca2ScIr
_cell_length_a 3.9675
_cell_length_b 3.9675
_cell_length_c 27.4717
_cell_angle_alpha 90.00
_cell_angle_beta 90.00
_cell_angle_gamma 120.00
_space_group_name_H-M_alt 'R 3 m'
_space_group_IT_number 160
_space_group_name_Hall 'R 3 -2"'
loop_
_atom_site_label
_atom_site_type_symbol
_atom_site_fract_x
_atom_site_fract_y
_atom_site_fract_z
Ca1 Ca 0.0000 0.0000 0.0000
Ca2 Ca 0.0000 0.0000 0.2116
Sc1 Sc 0.0000 0.0000 0.7730
Ir1 Ir 0.0000 0.0000 0.4819
```

It is <x> that is most stable; the runner-up trails by 6.2 kJ/mol of atoms.

<w>
# CaSc3Ir

A relaxed structure of CaSc3Ir (PBE, Alexandria).

Cell and atoms, written as CIF:
```
data_CaSc3Ir
_cell_length_a 4.703
_cell_length_b 4.703
_cell_length_c 4.703
_cell_angle_alpha 90.00
_cell_angle_beta 90.00
_cell_angle_gamma 90.00
_space_group_name_H-M_alt 'P m -3 m'
_space_group_IT_number 221
_space_group_name_Hall '-P 4 2 3'
loop_
_atom_site_label
_atom_site_type_symbol
_atom_site_fract_x
_atom_site_fract_y
_atom_site_fract_z
Ca1 Ca 0.000 0.000 0.000
Sc1 Sc 0.000 0.000 0.500
Ir1 Ir 0.500 0.500 0.500
```

<x>
# CaSc3Ir

A relaxed structure of CaSc3Ir (PBE, Alexandria).

Cell and atoms, written as CIF:
```
data_CaSc3Ir
_cell_length_a 5.145
_cell_length_b 5.145
_cell_length_c 5.145
_cell_angle_alpha 90.00
_cell_angle_beta 90.00
_cell_angle_gamma 90.00
_space_group_name_H-M_alt 'P m -3 m'
_space_group_IT_number 221
_space_group_name_Hall '-P 4 2 3'
loop_
_atom_site_label
_atom_site_type_symbol
_atom_site_fract_x
_atom_site_fract_y
_atom_site_fract_z
Ca1 Ca 0.000 0.000 0.000
Sc1 Sc 0.000 0.500 0.500
Ir1 Ir 0.500 0.500 0.500
```

It is <x> that is most stable; the runner-up trails by 166.8 kJ/mol of atoms.

<w>
# Ca2Sc2Ir

A relaxed structure of Ca2Sc2Ir (PBE, Alexandria).

Cell and atoms, written as CIF:
```
data_Ca2Sc2Ir
_cell_length_a 6.861
_cell_length_b 6.861
_cell_length_c 5.726
_cell_angle_alpha 90.00
_cell_angle_beta 90.00
_cell_angle_gamma 90.00
_space_group_name_H-M_alt 'P 4/m b m'
_space_group_IT_number 127
_space_group_name_Hall '-P 4 2ab'
loop_
_atom_site_label
_atom_site_type_symbol
_atom_site_fract_x
_atom_site_fract_y
_atom_site_fract_z
Ca1 Ca 0.182 0.318 0.000
Sc1 Sc 0.162 0.662 0.500
Ir1 Ir 0.000 0.000 0.500
```

<x>
# Ca2Sc2Ir

A relaxed structure of Ca2Sc2Ir (PBE, Alexandria).

Cell and atoms, written as CIF:
```
data_Ca2Sc2Ir
_cell_length_a 6.995
_cell_length_b 6.995
_cell_length_c 5.376
_cell_angle_alpha 90.00
_cell_angle_beta 90.00
_cell_angle_gamma 90.00
_space_group_name_H-M_alt 'P 4/m b m'
_space_group_IT_number 127
_space_group_name_Hall '-P 4 2ab'
loop_
_atom_site_label
_atom_site_type_symbol
_atom_site_fract_x
_atom_site_fract_y
_atom_site_fract_z
Ca1 Ca 0.152 0.348 0.000
Sc1 Sc 0.178 0.678 0.500
Ir1 Ir 0.000 0.000 0.000
```

It is <w> that is most stable; the runner-up trails by 49.4 kJ/mol of atoms.

<w>
# Ca2Ir2Se

A relaxed structure of Ca2Ir2Se (PBE, Alexandria).

Cell and atoms, written as CIF:
```
data_Ca2Ir2Se
_cell_length_a 6.937
_cell_length_b 6.937
_cell_length_c 4.413
_cell_angle_alpha 90.00
_cell_angle_beta 90.00
_cell_angle_gamma 90.00
_space_group_name_H-M_alt 'P 4/m b m'
_space_group_IT_number 127
_space_group_name_Hall '-P 4 2ab'
loop_
_atom_site_label
_atom_site_type_symbol
_atom_site_fract_x
_atom_site_fract_y
_atom_site_fract_z
Ca1 Ca 0.174 0.326 0.000
Ir1 Ir 0.128 0.628 0.500
Se1 Se 0.000 0.000 0.500
```

<x>
# Ca2Ir2Se

A relaxed structure of Ca2Ir2Se (PBE, Alexandria).

Cell and atoms, written as CIF:
```
data_Ca2Ir2Se
_cell_length_a 5.724
_cell_length_b 5.724
_cell_length_c 7.274
_cell_angle_alpha 90.00
_cell_angle_beta 90.00
_cell_angle_gamma 90.00
_space_group_name_H-M_alt 'I 4/m m m'
_space_group_IT_number 139
_space_group_name_Hall '-I 4 2'
loop_
_atom_site_label
_atom_site_type_symbol
_atom_site_fract_x
_atom_site_fract_y
_atom_site_fract_z
Ca1 Ca 0.000 0.500 0.250
Ir1 Ir 0.000 0.000 0.167
Se1 Se 0.000 0.000 0.500
```

It is <w> that is most stable; the runner-up trails by 0.5 kJ/mol of atoms.

<w>
# Ca2IrSe

A relaxed structure of Ca2IrSe (PBE, Alexandria).

Cell and atoms, written as CIF:
```
data_Ca2IrSe
_cell_length_a 3.627
_cell_length_b 4.512
_cell_length_c 11.395
_cell_angle_alpha 90.00
_cell_angle_beta 90.00
_cell_angle_gamma 90.00
_space_group_name_H-M_alt 'I m m 2'
_space_group_IT_number 44
loop_
_space_group_symop_operation_xyz
'x,y,z'
'-x,-y,z'
'-x,y,z'
'x,-y,z'
'x+1/2,y+1/2,z+1/2'
'-x+1/2,-y+1/2,z+1/2'
'-x+1/2,y+1/2,z+1/2'
'x+1/2,-y+1/2,z+1/2'
loop_
_atom_site_label
_atom_site_type_symbol
_atom_site_fract_x
_atom_site_fract_y
_atom_site_fract_z
Ca1 Ca 0.000 0.000 0.000
Ca2 Ca 0.000 0.500 0.221
Ir1 Ir 0.000 0.500 0.750
Se1 Se 0.000 0.000 0.413
```

<x>
# Ca2IrSe

A relaxed structure of Ca2IrSe (PBE, Alexandria).

Cell and atoms, written as CIF:
```
data_Ca2IrSe
_cell_length_a 4.179
_cell_length_b 4.179
_cell_length_c 5.955
_cell_angle_alpha 90.00
_cell_angle_beta 90.00
_cell_angle_gamma 90.00
_space_group_name_H-M_alt 'P 4/m m m'
_space_group_IT_number 123
_space_group_name_Hall '-P 4 2'
loop_
_atom_site_label
_atom_site_type_symbol
_atom_site_fract_x
_atom_site_fract_y
_atom_site_fract_z
Ca1 Ca 0.000 0.000 0.000
Ca2 Ca 0.500 0.500 0.500
Ir1 Ir 0.000 0.000 0.500
Se1 Se 0.500 0.500 0.000
```

<y>
# Ca2IrSe

A relaxed structure of Ca2IrSe (PBE, Alexandria).

Cell and atoms, written as CIF:
```
data_Ca2IrSe
_cell_length_a 4.170
_cell_length_b 4.176
_cell_length_c 10.750
_cell_angle_alpha 90.00
_cell_angle_beta 90.00
_cell_angle_gamma 90.00
_space_group_name_H-M_alt 'A m m 2'
_space_group_IT_number 38
loop_
_space_group_symop_operation_xyz
'x,y,z'
'-x,-y,z'
'-x,y,z'
'x,-y,z'
'x,y+1/2,z+1/2'
'-x,-y+1/2,z+1/2'
'-x,y+1/2,z+1/2'
'x,-y+1/2,z+1/2'
loop_
_atom_site_label
_atom_site_type_symbol
_atom_site_fract_x
_atom_site_fract_y
_atom_site_fract_z
Ca1 Ca 0.000 0.000 0.000
Ca2 Ca 0.500 0.000 0.282
Ir1 Ir 0.500 0.000 0.569
Se1 Se 0.000 0.000 0.712
```

It is <y> that is most stable; the runner-up trails by 14.1 kJ/mol of atoms.